Below is crystalline MgTlP2 at its relaxed geometry, with properties calculated at the PBE level.

Cell: 3.677 4.650 4.650 Å, 90.00 90.00 90.00°
Atoms (fractional coordinates):
Mg 0.500 0.000 0.500
P 0.000 0.000 0.000
P 0.000 0.500 0.500
Tl 0.500 0.500 0.000

Summary:
**Symmetry**: P4/mmm
**Energy relative to the elements**: 308 meV/atom

Below is crystalline PrNd4Rh2 at its relaxed geometry, with properties calculated at the PBE level.

Cell: 6.693 8.064 8.102 Å, 113.58 90.00 90.00°
Atoms (fractional coordinates):
Nd 0.750 0.746 0.660
Rh 0.750 0.369 0.405
Pr 0.250 0.848 0.974
Rh 0.250 0.631 0.595
Rh 0.750 0.754 0.009
Nd 0.005 0.589 0.236
Nd 0.250 0.985 0.619
Nd 0.995 0.411 0.764
Rh 0.250 0.246 0.991
Nd 0.505 0.411 0.764
Nd 0.495 0.589 0.236
Nd 0.750 0.015 0.381
Pr 0.750 0.152 0.026
Nd 0.250 0.254 0.340

Summary:
**Symmetry**: P2_1/m
**Energy relative to the elements**: -354 meV/atom

Below is crystalline NbTcBr2 at its relaxed geometry, with properties calculated at the PBE level.

Cell: 4.593 4.593 4.593 Å, 60.00 60.00 60.00°
Atoms (fractional coordinates):
Tc 0.500 0.500 0.500
Nb 0.000 0.000 0.000
Br 0.250 0.250 0.250
Br 0.750 0.750 0.750

Summary:
**Symmetry**: Fm-3m
**Formation energy from raw total energies**: 0.7985 eV per atom

Below is crystalline AcTlGa at its relaxed geometry, with properties calculated at the PBE level.

Cell: 3.799 3.799 6.654 Å, 106.59 106.59 90.00°
Atoms (fractional coordinates):
Tl 0.310 0.310 0.620
Ga 0.681 0.681 0.363
Ac 0.009 0.009 0.017

Summary:
**Symmetry**: I4mm
**Energy relative to the elements**: -227 meV/atom

Below is crystalline Er2FeAuC at its relaxed geometry, with properties calculated at the PBE level.

Cell: 3.655 4.939 4.939 Å, 90.00 90.00 90.00°
Atoms (fractional coordinates):
Er 0.000 0.000 0.500
C 0.000 0.000 0.000
Fe 0.500 0.000 0.000
Er 0.000 0.500 0.000
Au 0.500 0.500 0.500

Summary:
**Symmetry**: P4/mmm
**Energy relative to the elements**: -547 meV/atom

Below is crystalline V7PtC2 at its relaxed geometry, with properties calculated at the PBE level.

Cell: 3.968 6.075 6.075 Å, 116.25 90.00 90.00°
Atoms (fractional coordinates):
C 0.500 0.295 0.705
V 0.000 0.273 0.727
V 0.500 0.500 0.500
Pt 0.000 0.000 0.000
V 0.500 0.066 0.332
V 0.500 0.934 0.668
C 0.500 0.705 0.295
V 0.000 0.727 0.273
V 0.500 0.332 0.066
V 0.500 0.668 0.934

Summary:
**Symmetry**: Cmmm
**Energy relative to the elements**: -50 meV/atom

Number 1: volume 19.87 Å³/atom, D(E_F) 0.70 states/eV/atom. Number 2: volume 28.63 Å³/atom, D(E_F) 1.21 states/eV/atom. Number 3: volume 17.13 Å³/atom, D(E_F) 1.39 states/eV/atom. Number 4: volume 29.29 Å³/atom, D(E_F) 0.93 states/eV/atom. Number 5: volume 17.83 Å³/atom, D(E_F) 0.44 states/eV/atom. Number 6: volume 13.14 Å³/atom, D(E_F) 1.14 states/eV/atom.